[1]
## AlIrRu2 (PBE-GGA)

Data for a geometry-optimized AlIrRu2 structure.

a b c (Å): 2.7689 2.7689 25.5748
angles (deg): 90.00 90.00 120.00
Space group R3m (No. 160, hexagonal axes)
Unique sites:
Al (0.0000, 0.0000, 0.0000)
Ir (0.0000, 0.0000, 0.2525)
Ru (0.0000, 0.0000, 0.4986)
Ru (0.0000, 0.0000, 0.7490)

Results
As for the crystal system: trigonal.


[2]
## AlIrRu2 (PBE-GGA)

Data for a geometry-optimized AlIrRu2 structure.

a b c (Å): 2.765 3.786 5.402
angles (deg): 90.00 90.00 90.00
Space group Pmmm (No. 47)
Unique sites:
Al (0.000, 0.000, 0.000)
Ir (0.000, 0.000, 0.500)
Ru (0.500, 0.500, 0.249)

Results
As for the crystal system: orthorhombic.


[3]
## AlIrRu2 (PBE-GGA)

Data for a geometry-optimized AlIrRu2 structure.

a b c (Å): 2.895 4.360 8.860
angles (deg): 90.00 90.00 90.00
Space group Immm (No. 71)
Unique sites:
Al (0.000, 0.000, 0.000)
Ir (0.000, 0.000, 0.500)
Ru (0.000, 0.500, 0.273)

Results
As for the crystal system: orthorhombic.


| no. | uncorrected energy (eV per atom) | formation energy (kJ/mol of atoms) |
| --- | --- | --- |
| 1 | -7.9633 | -16.8 |
| 2 | -7.9720 | -17.7 |
| 3 | -7.9710 | -17.6 |